1.
Here is Sm4TlHgC after structural relaxation from the Alexandria database. Energies are from PBE-GGA.

Structure (extended XYZ):
```
14
Lattice="3.595 -7.607 0.000 3.595 7.607 0.000 0.000 0.000 7.189" Properties=species:S:1:pos:R:3 pbc="T T T"
Sm 1.797 3.804 0.000
Sm 1.797 3.804 3.595
Sm 3.595 6.346 5.392
Sm 3.595 1.317 5.392
Sm 1.797 -3.804 0.000
Sm 1.797 -3.804 3.595
Sm 3.595 -1.317 1.797
Sm 3.595 -6.346 1.797
Tl 3.595 1.813 1.797
Tl 3.595 -1.813 5.392
Hg 3.595 5.773 1.797
Hg 3.595 -5.773 5.392
C 3.595 3.822 5.392
C 3.595 -3.822 1.797
```

Properties
As for the crystal system: orthorhombic. As for the magnetic moment: 0.0 μB/cell. For the formation energy, the calculation gives -1.99 eV per formula unit. Its space group is Cmcm, No. 63. For the final energy, the calculation gives -65.5 eV per cell.

***

2.
Here is AcAgPb4 after structural relaxation from the Alexandria database. Energies are from PBE-GGA.

Structure (extended XYZ):
```
6
Lattice="0.000 4.588 4.588 4.588 0.000 4.588 4.588 4.588 0.000" Properties=species:S:1:pos:R:3 pbc="T T T"
Ac 0.000 0.000 0.000
Ag 6.883 6.883 6.883
Pb 3.439 3.439 3.439
Pb 5.738 5.738 3.439
Pb 5.738 3.439 5.738
Pb 3.439 5.738 5.738
```

Properties
As for the crystal system: cubic. As for the magnetic moment: 0.0 μB/cell. For the formation energy, the calculation gives -0.20 eV per formula unit. Its space group is F-43m, No. 216. For the final energy, the calculation gives -22.0 eV per cell.

***

3.
Here is FeNiSN2 after structural relaxation from the Alexandria database. Energies are from PBE-GGA.

Structure (extended XYZ):
```
5
Lattice="3.467 0.000 0.000 0.000 3.467 0.000 0.000 0.000 5.149" Properties=species:S:1:pos:R:3 pbc="T T T"
Fe 0.000 0.000 0.000
Ni 1.733 1.733 2.575
S 0.000 0.000 2.575
N 0.000 1.733 0.000
N 1.733 0.000 0.000
```

Properties
As for the crystal system: tetragonal. As for the magnetic moment: 0.7 μB/cell. The raw formation energy is 0.830 eV per atom. The calculation puts the energy relative to the lowest polymorph listed for this composition at 0.000 eV per atom. Its space group is P4/mmm, No. 123. For the final energy, the calculation gives -30.9 eV per cell.

***

4.
Here is PuTh2Zn after structural relaxation from the Alexandria database. Energies are from PBE-GGA.

Structure (extended XYZ):
```
4
Lattice="0.000 3.724 3.724 3.724 0.000 3.724 3.724 3.724 0.000" Properties=species:S:1:pos:R:3 pbc="T T T"
Pu 0.000 0.000 0.000
Th 1.862 1.862 1.862
Th 5.587 5.587 5.587
Zn 3.724 3.724 3.724
```

Properties
As for the crystal system: cubic. As for the magnetic moment: 7.1 μB/cell. For the formation energy, the calculation gives 0.19 eV per formula unit. The calculation puts the energy relative to the lowest polymorph listed for this composition at 0.086 eV per atom. Its space group is Fm-3m, No. 225. For the final energy, the calculation gives -30.3 eV per cell.

***

5.
Here is Er4Sc3 after structural relaxation from the Alexandria database. Energies are from PBE-GGA.

Structure (extended XYZ):
```
7
Lattice="-1.713 2.374 11.982 1.713 -2.374 11.982 1.713 2.374 -11.982" Properties=species:S:1:pos:R:3 pbc="T T T"
Er 0.000 0.000 1.694
Er 0.000 0.000 5.092
Er 0.000 0.000 18.872
Er 0.000 0.000 22.270
Sc 0.000 0.000 8.582
Sc 0.000 0.000 11.982
Sc 0.000 0.000 15.382
```

Properties
As for the crystal system: orthorhombic. As for the magnetic moment: 0.0 μB/cell. For the formation energy, the calculation gives 0.34 eV per formula unit. The calculation puts the energy relative to the lowest polymorph listed for this composition at 0.000 eV per atom. Its space group is Immm, No. 71. For the final energy, the calculation gives -36.9 eV per cell.

***

6.
Here is LiNdHoHg after structural relaxation from the Alexandria database. Energies are from PBE-GGA.

Structure (extended XYZ):
```
4
Lattice="0.000 3.747 3.747 3.747 0.000 3.747 3.747 3.747 0.000" Properties=species:S:1:pos:R:3 pbc="T T T"
Li 0.000 0.000 0.000
Nd 1.873 1.873 1.873
Ho 5.620 5.620 5.620
Hg 3.747 3.747 3.747
```

Properties
As for the crystal system: cubic. As for the magnetic moment: 0.3 μB/cell. For the formation energy, the calculation gives -0.80 eV per formula unit. Its space group is F-43m, No. 216. For the final energy, the calculation gives -12.4 eV per cell.

***

7.
Here is Th6Ge3P2S after structural relaxation from the Alexandria database. Energies are from PBE-GGA.

Structure (extended XYZ):
```
12
Lattice="9.163 -2.115 0.000 9.163 2.115 0.000 -1.833 0.000 8.191" Properties=species:S:1:pos:R:3 pbc="T T T"
Th -0.418 0.000 2.046
Th 5.301 0.000 3.446
Th 4.437 0.000 7.465
Th 12.056 0.000 0.727
Th 11.192 0.000 4.745
Th 16.911 0.000 6.146
Ge 1.503 0.000 6.831
Ge 8.247 0.000 4.096
Ge 14.990 0.000 1.361
P 2.438 0.000 2.722
P 14.056 0.000 5.469
S 9.163 0.000 0.000
```

Properties
As for the crystal system: monoclinic. As for the magnetic moment: 0.0 μB/cell. The raw formation energy is -1.212 eV per atom. Its space group is C2/m, No. 12. For the final energy, the calculation gives -87.9 eV per cell.

***

8.
Here is La2CdRuI after structural relaxation from the Alexandria database. Energies are from PBE-GGA.

Structure (extended XYZ):
```
5
Lattice="5.422 0.000 0.000 0.000 5.422 0.000 0.000 0.000 5.366" Properties=species:S:1:pos:R:3 pbc="T T T"
La 0.000 2.711 0.000
La 2.711 0.000 0.000
Cd 0.000 0.000 2.683
Ru 0.000 0.000 0.000
I 2.711 2.711 2.683
```

Properties
As for the crystal system: tetragonal. As for the magnetic moment: 0.0 μB/cell. The raw formation energy is -0.504 eV per atom. The calculation puts the energy relative to the lowest polymorph listed for this composition at 0.000 eV per atom. Its space group is P4/mmm, No. 123. For the final energy, the calculation gives -24.1 eV per cell.

***

9.
Here is Er8In4CSe3 after structural relaxation from the Alexandria database. Energies are from PBE-GGA.

Structure (extended XYZ):
```
16
Lattice="3.857 2.227 7.819 -3.857 2.227 7.819 0.000 -4.454 7.819" Properties=species:S:1:pos:R:3 pbc="T T T"
Er 0.000 0.000 5.628
Er -1.719 -0.992 13.254
Er 0.000 -1.985 10.202
Er -1.719 0.992 10.202
Er 1.719 -0.992 13.254
Er 0.000 1.985 13.254
Er 1.719 0.992 10.202
Er 0.000 0.000 17.829
In 0.000 0.000 0.000
In -1.929 -1.114 7.819
In -1.929 1.114 15.638
In 0.000 2.227 7.819
C 0.000 0.000 11.728
Se -3.857 0.000 11.728
Se -1.929 1.114 3.909
Se 1.929 1.114 3.909
```

Properties
As for the crystal system: trigonal. As for the magnetic moment: 0.0 μB/cell. The raw formation energy is -0.901 eV per atom. Its space group is R-3m, No. 166. For the final energy, the calculation gives -81.6 eV per cell.

***

10.
Here is K7RbNa12 after structural relaxation from the Alexandria database. Energies are from PBE-GGA.

Structure (extended XYZ):
```
20
Lattice="8.780 5.069 3.860 -8.780 5.069 3.860 0.000 -10.138 3.860" Properties=species:S:1:pos:R:3 pbc="T T T"
K 0.000 0.000 0.000
K -3.477 -0.752 2.915
K 2.389 -2.635 2.915
K 1.088 3.387 2.915
K -1.088 -3.387 8.666
K -2.389 2.635 8.666
K 3.477 0.752 8.666
Rb 0.000 0.000 5.790
Na -2.695 -7.345 4.897
Na -7.709 -1.338 6.684
Na -1.239 -4.011 4.638
Na -5.013 6.007 4.897
Na -4.093 -0.932 6.942
Na -2.854 3.078 4.638
Na 2.854 -3.078 6.942
Na 4.093 0.932 4.638
Na 5.013 -6.007 6.684
Na 1.239 4.011 6.942
Na 7.709 1.338 4.897
Na 2.695 7.345 6.684
```

Properties
As for the crystal system: trigonal. As for the magnetic moment: 0.0 μB/cell. For the formation energy, the calculation gives 0.70 eV per formula unit. Its space group is R-3, No. 148. For the final energy, the calculation gives -23.8 eV per cell.

***

11.
Here is Ho4Al12Ru after structural relaxation from the Alexandria database. Energies are from PBE-GGA.

Structure (extended XYZ):
```
17
Lattice="-4.312 4.312 4.312 4.312 -4.312 4.312 4.312 4.312 -4.312" Properties=species:S:1:pos:R:3 pbc="T T T"
Ho 2.156 2.156 -2.156
Ho 2.156 -2.156 2.156
Ho -2.156 2.156 2.156
Ho 2.156 2.156 2.156
Al 2.462 0.000 0.000
Al 6.162 0.000 0.000
Al 4.312 2.156 0.000
Al 4.312 0.000 2.156
Al 0.000 2.462 0.000
Al 0.000 0.000 2.462
Al 2.156 4.312 0.000
Al 2.156 0.000 4.312
Al 0.000 6.162 0.000
Al 0.000 0.000 6.162
Al 0.000 4.312 2.156
Al 0.000 2.156 4.312
Ru 0.000 0.000 0.000
```

Properties
As for the crystal system: cubic. As for the magnetic moment: 0.0 μB/cell. For the formation energy, the calculation gives -8.35 eV per formula unit. Its space group is Im-3m, No. 229. For the final energy, the calculation gives -80.8 eV per cell.

***

12.
Here is CuCSN2 after structural relaxation from the Alexandria database. Energies are from PBE-GGA.

Structure (extended XYZ):
```
5
Lattice="3.073 0.000 0.000 0.000 3.073 0.000 0.000 0.000 7.630" Properties=species:S:1:pos:R:3 pbc="T T T"
Cu 0.000 0.000 0.000
C 1.536 1.536 3.815
S 1.536 1.536 0.000
N 0.000 1.536 3.815
N 1.536 0.000 3.815
```

Properties
As for the crystal system: tetragonal. As for the magnetic moment: 0.0 μB/cell. The raw formation energy is 1.767 eV per atom. The calculation puts the energy relative to the lowest polymorph listed for this composition at 0.000 eV per atom. Its space group is P4/mmm, No. 123. For the final energy, the calculation gives -25.3 eV per cell.